Record 1
An optimized crystal structure of CaCdBr, computed with PBE.

Structure (extended XYZ):
```
12
Lattice="7.3247 0.0000 0.0000 0.0000 7.3247 0.0000 0.0000 0.0000 7.3247" Properties=species:S:1:pos:R:3 pbc="T T T"
Ca 0.0000 0.0000 0.0000
Ca 0.0000 3.6624 3.6624
Ca 3.6624 0.0000 3.6624
Ca 3.6624 3.6624 0.0000
Cd 0.0000 0.0000 3.6624
Cd 0.0000 3.6624 0.0000
Cd 3.6624 0.0000 0.0000
Cd 3.6624 3.6624 3.6624
Br 1.8312 1.8312 5.4936
Br 1.8312 5.4936 1.8312
Br 5.4936 1.8312 1.8312
Br 5.4936 5.4936 5.4936
```

Results
Electronic total energy (eV per atom): -2.03
Total magnetic moment (μB/f.u.): 0.000
Symmetry: No. 216



Record 2
An optimized crystal structure of Ca2Cd2Br, computed with PBE.

Structure (extended XYZ):
```
10
Lattice="8.1573 0.0000 0.0000 0.0000 8.1573 0.0000 0.0000 0.0000 4.7177" Properties=species:S:1:pos:R:3 pbc="T T T"
Ca 1.4190 2.6596 0.0000
Ca 2.6596 6.7383 0.0000
Ca 5.4977 1.4190 0.0000
Ca 6.7383 5.4977 0.0000
Cd 1.0250 5.1037 2.3588
Cd 3.0536 1.0250 2.3588
Cd 5.1037 7.1323 2.3588
Cd 7.1323 3.0536 2.3588
Br 0.0000 0.0000 0.0000
Br 4.0787 4.0787 0.0000
```

Results
Electronic total energy (eV per atom): -2.10
Total magnetic moment (μB/f.u.): 0.000
Symmetry: No. 127



Which value of total magnetic moment does entry 2 give?
0.000 μB/f.u.



Please write out number 1 again, unchanged.
An optimized crystal structure of CaCdBr, computed with PBE.

Structure (extended XYZ):
```
12
Lattice="7.3247 0.0000 0.0000 0.0000 7.3247 0.0000 0.0000 0.0000 7.3247" Properties=species:S:1:pos:R:3 pbc="T T T"
Ca 0.0000 0.0000 0.0000
Ca 0.0000 3.6624 3.6624
Ca 3.6624 0.0000 3.6624
Ca 3.6624 3.6624 0.0000
Cd 0.0000 0.0000 3.6624
Cd 0.0000 3.6624 0.0000
Cd 3.6624 0.0000 0.0000
Cd 3.6624 3.6624 3.6624
Br 1.8312 1.8312 5.4936
Br 1.8312 5.4936 1.8312
Br 5.4936 1.8312 1.8312
Br 5.4936 5.4936 5.4936
```

Results
Electronic total energy (eV per atom): -2.03
Total magnetic moment (μB/f.u.): 0.000
Symmetry: No. 216



Repeat the first record exactly.
An optimized crystal structure of CaCdBr, computed with PBE.

Structure (extended XYZ):
```
12
Lattice="7.3247 0.0000 0.0000 0.0000 7.3247 0.0000 0.0000 0.0000 7.3247" Properties=species:S:1:pos:R:3 pbc="T T T"
Ca 0.0000 0.0000 0.0000
Ca 0.0000 3.6624 3.6624
Ca 3.6624 0.0000 3.6624
Ca 3.6624 3.6624 0.0000
Cd 0.0000 0.0000 3.6624
Cd 0.0000 3.6624 0.0000
Cd 3.6624 0.0000 0.0000
Cd 3.6624 3.6624 3.6624
Br 1.8312 1.8312 5.4936
Br 1.8312 5.4936 1.8312
Br 5.4936 1.8312 1.8312
Br 5.4936 5.4936 5.4936
```

Results
Electronic total energy (eV per atom): -2.03
Total magnetic moment (μB/f.u.): 0.000
Symmetry: No. 216